A plane-wave DFT calculation with PBE-GGA was carried out for a geometry-optimized Li2SmCd4Ag structure.

Cell lengths 9.374, 9.374, 9.374 Å; angles 29.31, 29.31, 29.31 degrees
Sites, in units of the cell vectors:
1 Li 0.238 0.238 0.238
2 Li 0.762 0.762 0.762
3 Sm 0.000 0.000 0.000
4 Cd 0.126 0.126 0.126
5 Cd 0.394 0.394 0.394
6 Cd 0.606 0.606 0.606
7 Cd 0.874 0.874 0.874
8 Ag 0.500 0.500 0.500

DFT formation energy = -0.20 eV/atom
symmetry = R-3m (166)
total DFT energy (no corrections) = -2.082 eV/atom